1.
! ZrScIn2, PBEsol geometry, DFT meta-GGA SCAN; values from VASP
&SYSTEM
  ibrav = 0, nat = 4, ntyp = 3
/
ATOMIC_SPECIES
Sc 44.96 Sc.upf
In 114.82 In.upf
Zr 91.22 Zr.upf
ATOMIC_POSITIONS crystal
Sc 0.5000 0.5000 0.0000
In 0.2500 0.7500 0.5000
In 0.7500 0.2500 0.5000
Zr 0.0000 0.0000 0.0000
CELL_PARAMETERS angstrom
4.4267 0.0000 0.0000
0.0000 4.4267 0.0000
-2.2133 -2.2133 4.3276
! Calculated volume = 84.8 Å³ per cell
! M_tot = 0.818 μB/cell
! Energy relative to the elements = -0.50 eV/atom
! Total energy = -28.43 eV per atom
! Polymorph energy (0 for the lowest one) = 0.0225 eV/atom



2.
! Cu2ReRu, PBEsol geometry, DFT meta-GGA SCAN; values from VASP
&SYSTEM
  ibrav = 0, nat = 4, ntyp = 3
/
ATOMIC_SPECIES
Re 186.21 Re.upf
Cu 63.55 Cu.upf
Ru 101.07 Ru.upf
ATOMIC_POSITIONS crystal
Re 0.5001 0.0003 0.4808
Cu 0.2523 0.5045 0.7719
Cu 0.9989 0.9978 0.9768
Ru 0.7487 0.4974 0.2705
CELL_PARAMETERS angstrom
2.6541 0.0000 0.0000
-1.3271 4.3266 0.0026
0.0000 -0.7717 4.4682
! Calculated volume = 51.3 Å³ per cell
! M_tot = 0.000 μB/cell
! Energy relative to the elements = 0.21 eV/atom
! Total energy = -33.87 eV per atom
! Polymorph energy (0 for the lowest one) = 0.0871 eV/atom



3.
! TlCrIn2, PBEsol geometry, DFT meta-GGA SCAN; values from VASP
&SYSTEM
  ibrav = 0, nat = 4, ntyp = 3
/
ATOMIC_SPECIES
Cr 52.00 Cr.upf
In 114.82 In.upf
Tl 204.38 Tl.upf
ATOMIC_POSITIONS crystal
Cr 0.0000 0.0000 0.0000
In 0.2500 0.2500 0.2500
In 0.7500 0.7500 0.7500
Tl 0.5000 0.5000 0.5000
CELL_PARAMETERS angstrom
5.0679 0.0000 0.0000
2.5339 4.3889 0.0000
2.5339 1.4630 4.1379
! Calculated volume = 92.0 Å³ per cell
! M_tot = 4.654 μB/cell
! Energy relative to the elements = 0.28 eV/atom
! Total energy = -39.10 eV per atom